! PBE+U HfVN2F, relaxed; values from VASP
! Excess energy over the best structure of this formula in the dataset: 0.068 eV per atom
! Electronic total energy: -7.791 eV per atom
! Space group: P4/mmm, No. 123
! Total moment: 1.812 μB/f.u.
&SYSTEM
  ibrav = 0, nat = 5, ntyp = 4
/
ATOMIC_SPECIES
Hf 178.49 Hf.upf
V 50.94 V.upf
N 14.01 N.upf
F 19.00 F.upf
ATOMIC_POSITIONS crystal
Hf 0.000 0.000 0.000
V 0.500 0.500 0.500
N 0.000 0.500 0.500
N 0.500 0.000 0.500
F 0.500 0.500 0.000
CELL_PARAMETERS angstrom
3.935 0.000 0.000
0.000 3.935 0.000
0.000 0.000 3.696

! PBE+U HfVN2F, relaxed; values from VASP
! Excess energy over the best structure of this formula in the dataset: 0.000 eV per atom
! Electronic total energy: -7.860 eV per atom
! Space group: P4/mmm, No. 123
! Total moment: 2.696 μB/f.u.
&SYSTEM
  ibrav = 0, nat = 5, ntyp = 4
/
ATOMIC_SPECIES
Hf 178.49 Hf.upf
V 50.94 V.upf
N 14.01 N.upf
F 19.00 F.upf
ATOMIC_POSITIONS crystal
Hf 0.000 0.000 0.000
V 0.500 0.500 0.500
N 0.000 0.500 0.000
N 0.500 0.000 0.000
F 0.000 0.000 0.500
CELL_PARAMETERS angstrom
4.189 0.000 0.000
0.000 4.189 0.000
0.000 0.000 4.015

! PBE+U HfWN2F, relaxed; values from VASP
! Excess energy over the best structure of this formula in the dataset: 0.256 eV per atom
! Electronic total energy: -7.317 eV per atom
! Space group: P4/mmm, No. 123
! Total moment: 2.423 μB/f.u.
&SYSTEM
  ibrav = 0, nat = 5, ntyp = 4
/
ATOMIC_SPECIES
Hf 178.49 Hf.upf
W 183.84 W.upf
N 14.01 N.upf
F 19.00 F.upf
ATOMIC_POSITIONS crystal
Hf 0.000 0.000 0.000
W 0.500 0.500 0.500
N 0.000 0.500 0.500
N 0.500 0.000 0.500
F 0.500 0.500 0.000
CELL_PARAMETERS angstrom
4.109 0.000 0.000
0.000 4.109 0.000
0.000 0.000 3.956

! PBE+U HfWN2F, relaxed; values from VASP
! Excess energy over the best structure of this formula in the dataset: 1.059 eV per atom
! Electronic total energy: -6.514 eV per atom
! Space group: P4/mmm, No. 123
! Total moment: 3.975 μB/f.u.
&SYSTEM
  ibrav = 0, nat = 5, ntyp = 4
/
ATOMIC_SPECIES
Hf 178.49 Hf.upf
W 183.84 W.upf
N 14.01 N.upf
F 19.00 F.upf
ATOMIC_POSITIONS crystal
Hf 0.000 0.000 0.000
W 0.000 0.000 0.500
N 0.000 0.500 0.000
N 0.500 0.000 0.000
F 0.500 0.500 0.500
CELL_PARAMETERS angstrom
3.997 0.000 0.000
0.000 3.997 0.000
0.000 0.000 6.243

! PBE+U HfWN2F, relaxed; values from VASP
! Excess energy over the best structure of this formula in the dataset: 0.000 eV per atom
! Electronic total energy: -7.573 eV per atom
! Space group: P4/mmm, No. 123
! Total moment: 2.994 μB/f.u.
&SYSTEM
  ibrav = 0, nat = 5, ntyp = 4
/
ATOMIC_SPECIES
Hf 178.49 Hf.upf
W 183.84 W.upf
N 14.01 N.upf
F 19.00 F.upf
ATOMIC_POSITIONS crystal
Hf 0.000 0.000 0.000
W 0.500 0.500 0.500
N 0.000 0.500 0.000
N 0.500 0.000 0.000
F 0.000 0.000 0.500
CELL_PARAMETERS angstrom
4.246 0.000 0.000
0.000 4.246 0.000
0.000 0.000 3.934